No. 1
DFT (SCAN) results for a PBEsol-optimized structure of Cu2SbTe.

Results
ΔE_f (raw) = 0.3580 eV per atom
Fermi-level density of states = 1.50 states/eV/cell
VASP energy = -25.870 eV/atom

The structure in POSCAR format:
```
Cu2SbTe
1.0
-0.193 3.636 1.136
-1.950 0.883 -3.157
-3.488 -3.291 3.538
Sb Cu Te
1 2 1
direct
0.500 0.500 0.000
0.750 0.250 0.500
0.000 0.000 0.000
0.250 0.750 0.500
```

---

No. 2
DFT (SCAN) results for a PBEsol-optimized structure of CuSbTe3.

Results
ΔE_f (raw) = 0.9579 eV per atom
Fermi-level density of states = 3.79 states/eV/cell
VASP energy = -31.885 eV/atom

The structure in POSCAR format:
```
CuSbTe3
1.0
-5.131 -1.659 1.602
1.773 -5.337 0.152
1.475 0.644 5.391
Sb Te Cu
1 3 1
direct
0.000 0.000 0.000
0.500 0.000 0.000
0.000 0.000 0.500
0.000 0.500 0.000
0.500 0.500 0.500
```

---

No. 3
DFT (SCAN) results for a PBEsol-optimized structure of Cu2SbTe.

Results
ΔE_f (raw) = 0.1072 eV per atom
Fermi-level density of states = 1.96 states/eV/cell
VASP energy = -26.120 eV/atom

The structure in POSCAR format:
```
Cu2SbTe
1.0
-1.810 -2.658 -0.685
2.394 -1.127 -1.952
3.024 -3.542 5.755
Te Cu Sb
1 2 1
direct
0.500 0.500 0.841
0.500 0.500 0.201
0.000 0.000 0.050
0.000 0.000 0.408
```

---

No. 4
DFT (SCAN) results for a PBEsol-optimized structure of TiCuSb2Te.

Results
ΔE_f (raw) = 0.5320 eV per atom
Fermi-level density of states = 3.67 states/eV/cell
VASP energy = -28.068 eV/atom

The structure in POSCAR format:
```
TiCuSb2Te
1.0
4.921 0.000 0.000
0.000 4.921 0.000
0.000 0.000 5.154
Sb Te Cu Ti
2 1 1 1
direct
0.000 0.500 0.000
0.500 0.000 0.000
0.000 0.000 0.500
0.000 0.000 0.000
0.500 0.500 0.500
```